(1)
ZnCdMo (GGA-PBE, optimized geometry); excess energy over the best structure of this formula in the dataset = 68 meV per atom; energy of formation from the pure elements = 0.261 eV/atom
1.0
0.0000 2.1769 6.7960
1.7209 0.0000 6.7960
1.7209 2.1769 0.0000
Zn Cd Mo
1 1 1
Cartesian
0.0000 0.0000 0.0000
1.7209 2.1769 4.4329
1.7209 2.1769 8.8517

***

(2)
CdSbAs (GGA-PBE, optimized geometry); excess energy over the best structure of this formula in the dataset = 26 meV per atom
1.0
0.0000 3.4636 3.4636
3.4636 0.0000 3.4636
3.4636 3.4636 0.0000
Cd Sb As
1 1 1
Cartesian
0.0000 0.0000 0.0000
3.4636 3.4636 3.4636
5.1954 5.1954 5.1954

***

(3)
Computed, not measured: a relaxed structure of ScGePbN2 at the GGA-PBE level of DFT.

```
ScGePbN2
1.0
4.1462 0.0000 0.0000
0.0000 4.1462 0.0000
0.0000 0.0000 6.0948
Sc Ge Pb N
1 1 1 2
Cartesian
0.0000 0.0000 0.0000
2.0731 2.0731 3.0474
0.0000 0.0000 3.0474
0.0000 2.0731 0.0000
2.0731 0.0000 0.0000
```

***

(4)
Tb3Nd2DyBi6 (GGA-PBE, optimized geometry); energy of formation from the pure elements = -0.897 eV/atom
1.0
9.8676 -2.2653 0.0000
9.8676 2.2653 0.0000
-2.0703 0.0000 8.8171
Tb Nd Dy Bi
3 2 1 6
Cartesian
0.0000 0.0000 0.0000
5.1732 0.0000 5.8740
12.4917 0.0000 2.9431
6.2465 0.0000 1.4765
11.4184 0.0000 7.3406
-1.0351 0.0000 4.4085
3.0771 0.0000 0.7713
2.0763 0.0000 5.0907
8.2696 0.0000 6.5937
9.3953 0.0000 2.2234
15.5886 0.0000 3.7264
14.5878 0.0000 8.0458

***

(5)
La2SnPRh6 (GGA-PBE, optimized geometry); energy of formation from the pure elements = -0.675 eV/atom
1.0
5.6935 0.0000 0.0000
0.0000 8.7830 0.0000
0.0000 0.0000 7.9561
La Sn P Rh
4 2 2 12
Cartesian
1.4234 0.0951 1.7335
1.4234 4.2964 1.7335
4.2701 4.4866 6.2226
4.2701 8.6879 6.2226
1.4234 6.5872 6.2581
4.2701 2.1957 1.6980
1.4234 2.1957 5.7273
4.2701 6.5872 2.2288
0.0203 6.5872 0.5047
0.0802 6.5872 3.9250
1.4234 0.0238 4.7132
1.4234 4.3677 4.7132
2.7665 6.5872 3.9250
2.8265 6.5872 0.5047
2.8670 2.1957 7.4514
2.9270 2.1957 4.0311
4.2701 4.4153 3.2429
4.2701 8.7592 3.2429
5.6132 2.1957 4.0311
5.6732 2.1957 7.4514

***

(6)
Sr2La6Tc (GGA-PBE, optimized geometry); energy of formation from the pure elements = 0.180 eV/atom
1.0
9.3898 0.0000 0.0000
0.0000 4.0346 0.0000
-4.1552 0.0000 9.6806
Sr La Tc
2 6 1
Cartesian
0.5044 0.0000 3.2858
4.7301 0.0000 6.3948
-1.2740 2.0173 6.2281
-2.2443 2.0173 9.3533
1.0428 0.0000 7.7660
4.1918 0.0000 1.9146
7.4789 2.0173 0.3273
6.5085 2.0173 3.4525
4.6949 2.0173 0.0000

***

(7)
Computed, not measured: a relaxed structure of LaNpUO6 at the GGA-PBE level of DFT.

```
LaNpUO6
1.0
5.9712 0.0000 0.0000
-2.9856 5.1712 0.0000
0.0000 0.0000 9.2189
La Np U O
2 2 2 12
Cartesian
0.0000 3.4475 2.3047
2.9856 1.7237 6.9142
0.0000 0.0000 0.0000
0.0000 0.0000 4.6095
0.0000 3.4475 6.9142
2.9856 1.7237 2.3047
-0.8233 1.7932 5.7919
-1.8443 3.5616 8.0364
0.8233 1.7932 8.0364
-1.0210 4.9876 5.7919
1.9646 0.1836 1.1825
1.1413 1.6096 3.4270
1.8443 3.5616 5.7919
1.0210 4.9876 8.0364
4.0066 0.1836 3.4270
2.1623 3.3780 1.1825
4.8299 1.6096 1.1825
3.8089 3.3780 3.4270
```

***

(8)
Computed, not measured: a relaxed structure of Na2AsAuI6 at the GGA-PBE level of DFT.

```
Na2AsAuI6
1.0
7.8379 0.0000 0.0000
3.9185 6.8016 0.0000
3.9133 2.2628 7.2408
Na As Au I
2 1 1 6
Cartesian
0.0000 0.0000 0.0000
7.8231 4.5228 3.9307
11.7509 6.7908 6.7871
3.9245 2.2545 1.4750
6.2491 7.0299 5.2890
5.4948 4.4708 1.5571
6.4590 1.8970 5.2881
8.9564 6.5826 1.5626
10.7860 4.6498 5.2876
9.0583 2.5319 1.5572
```

***

(9)
Computed, not measured: a relaxed structure of EuTeS2 at the GGA-PBE level of DFT.

```
EuTeS2
1.0
2.1394 1.2352 8.2048
-2.1394 1.2352 8.2048
0.0000 -2.4704 8.2048
Eu Te S
1 1 2
Cartesian
0.0000 0.0000 0.0000
0.0000 0.0000 12.3072
0.0000 0.0000 2.8275
0.0000 0.0000 21.7868
```

***

(10)
Computed, not measured: a relaxed structure of Li2TeIr at the GGA-PBE level of DFT.

```
Li2TeIr
1.0
3.1317 0.0000 0.0000
0.0000 3.9056 0.0000
0.0000 0.0000 5.5647
Li Te Ir
2 1 1
Cartesian
0.0000 0.0000 0.0000
1.5658 1.9528 1.2884
0.0000 0.0000 2.9394
1.5658 1.9528 4.1226
```

***

(11)
Computed, not measured: a relaxed structure of Ac3SiGe2Pd6 at the GGA-PBE level of DFT.

```
Ac3SiGe2Pd6
1.0
6.2711 0.0000 0.0000
-3.1355 5.4309 0.0000
0.0000 0.0000 8.0705
Ac Si Ge Pd
3 1 2 6
Cartesian
0.0000 0.0000 0.0000
0.0000 3.6206 5.5717
3.1355 1.8103 2.4988
0.0000 0.0000 4.0352
0.0000 3.6206 0.7104
3.1355 1.8103 7.3601
0.0000 1.9716 2.7001
-1.4281 4.4451 2.7001
1.7074 0.9858 5.3704
1.4281 4.4451 2.7001
4.5636 0.9858 5.3704
3.1355 3.4593 5.3704
```

***

(12)
Computed, not measured: a relaxed structure of Y3AlSe2 at the GGA-PBE level of DFT.

```
Y3AlSe2
1.0
-1.9979 2.9377 6.4375
1.9979 -2.9377 6.4375
1.9979 2.9377 -6.4375
Y Al Se
3 1 2
Cartesian
0.0000 0.0000 0.0000
0.0000 0.0000 4.2465
0.0000 0.0000 8.6285
0.0000 2.9377 0.0000
1.9979 0.0000 2.1485
0.0000 2.9377 4.2890
```

***

(13)
Nd9Y2Tm3 (GGA-PBE, optimized geometry); energy of formation from the pure elements = 0.245 eV/atom
1.0
9.0426 0.0000 0.0000
-4.5213 7.8312 0.0000
0.0000 0.0000 14.0902
Nd Y Tm
18 4 6
Cartesian
-1.4505 3.7717 3.5225
-2.0863 5.6905 0.5999
-2.0863 5.6905 6.4451
0.6364 3.1791 0.5999
0.6364 3.1791 6.4451
-0.5297 7.2015 3.5225
3.0714 1.0384 7.6450
3.0714 1.0384 13.4902
2.5412 3.1420 10.5676
1.9802 4.6892 3.5225
1.4500 6.7927 0.5999
1.4500 6.7927 6.4451
5.0510 0.6297 10.5676
3.8849 4.6521 7.6450
3.8849 4.6521 13.4902
6.6077 2.1407 7.6450
6.6077 2.1407 13.4902
5.9718 4.0595 10.5676
0.0000 5.2208 9.0509
0.0000 5.2208 12.0843
4.5213 2.6104 2.0058
4.5213 2.6104 5.0392
-0.4402 1.9465 10.5676
-2.6155 7.2391 10.5676
1.4656 1.3545 3.5225
3.0557 6.4767 10.5676
7.1368 0.5920 3.5225
4.9615 5.8846 3.5225

***

(14)
MgReSN2 (GGA-PBE, optimized geometry); excess energy over the best structure of this formula in the dataset = 1789 meV per atom
1.0
3.9069 0.0000 0.0000
0.0000 3.9069 0.0000
0.0000 0.0000 4.7553
Mg Re S N
1 1 1 2
Cartesian
0.0000 0.0000 0.0000
1.9535 1.9535 2.3776
0.0000 0.0000 2.3776
0.0000 1.9535 0.0000
1.9535 0.0000 0.0000

***

(15)
Sm2Mn2Ni15 (GGA-PBE, optimized geometry); energy of formation from the pure elements = -0.198 eV/atom
1.0
4.1818 2.4144 4.0868
-4.1818 2.4144 4.0868
0.0000 -4.8287 4.0868
Sm Mn Ni
2 2 15
Cartesian
0.0000 0.0000 1.8900
0.0000 0.0000 10.3705
0.0000 0.0000 4.8857
0.0000 0.0000 7.3748
-2.0909 -1.2072 4.0868
0.0000 -2.3969 3.9519
-2.0758 1.1984 3.9519
-1.2284 -2.1277 6.1303
-2.4569 0.0000 6.1303
-2.0758 -1.1984 8.3087
-2.0909 1.2072 8.1737
1.2284 -2.1277 6.1303
0.0000 2.4144 4.0868
-1.2284 2.1277 6.1303
2.0758 1.1984 3.9519
2.4569 0.0000 6.1303
1.2284 2.1277 6.1303
2.0758 -1.1984 8.3087
0.0000 2.3969 8.3087

***

(16)
SiBiOs2 (GGA-PBE, optimized geometry); excess energy over the best structure of this formula in the dataset = 11 meV per atom
1.0
-2.2525 2.2525 8.1503
2.2525 -2.2525 8.1503
2.2525 2.2525 -8.1503
Si Bi Os
2 2 4
Cartesian
0.0000 0.0000 0.0000
0.0000 2.2525 4.0751
2.2525 0.0000 4.0751
0.0000 0.0000 8.1503
3.3787 0.5790 -2.0376
0.5790 1.1262 2.0376
-1.1262 1.6735 6.1127
1.6735 1.1262 10.1879

***

These records have N(E_F) values of 1.434; 1.886; 3.690; 2.020; 11.851; 12.028; 28.499; 0.000; 11.857; 2.164; 5.560; 0.991; 36.593; 2.596; 19.479; 11.006 states/eV/cell, in the order they appear.
These records have DFT total energy values of -4.079; -3.008; -5.399; -5.173; -7.012; -4.630; -9.655; -2.534; -5.582; -4.082; -5.599; -6.327; -4.702; -5.167; -6.225; -7.213 eV per atom, in the order they appear.